[1]
Here is a relaxed TlAgS3 crystal from Alexandria via LeMat-Bulk. Energies are from PBE.

Crystal system: cubic
ΔE_f (raw): 11.52 kcal/mol of atoms
Excess energy over the best structure of this formula in the dataset: 583 meV per atom

a b c (Å): 4.9524 4.9524 4.9524
angles (deg): 90.00 90.00 90.00
Closest atoms and distances in Å follow each position.
Positions (direct):
Tl 0.0000 0.0000 0.0000  12 S 3.50
Ag 0.5000 0.5000 0.5000  6 S 2.48
S 0.0000 0.5000 0.5000  2 Ag 2.48
S 0.5000 0.0000 0.5000  2 Ag 2.48
S 0.5000 0.5000 0.0000  2 Ag 2.48

***

[2]
Here is a relaxed Co2Mo2Pd crystal from Alexandria via LeMat-Bulk. Energies are from PBE.

Energy of formation from the pure elements: 0.05 eV/atom
Crystal system: tetragonal
Excess energy over the best structure of this formula in the dataset: 0 meV per atom

a b c (Å): 7.0664 7.0664 2.7376
angles (deg): 90.00 90.00 90.00
Closest atoms and distances in Å follow each position.
Positions (direct):
Co 0.1253 0.3747 0.0000  6 Mo 2.46-2.52, 3 Co 2.50-2.74
Co 0.3747 0.8747 0.0000  6 Mo 2.46-2.52, 3 Co 2.50-2.74
Co 0.6253 0.1253 0.0000  6 Mo 2.46-2.52, 3 Co 2.50-2.74
Co 0.8747 0.6253 0.0000  6 Mo 2.46-2.52, 3 Co 2.50-2.74
Mo 0.1701 0.6701 0.5000  6 Co 2.46-2.52, 2 Mo 2.74
Mo 0.3299 0.1701 0.5000  6 Co 2.46-2.52, 2 Mo 2.74
Mo 0.6701 0.8299 0.5000  6 Co 2.46-2.52, 2 Mo 2.74
Mo 0.8299 0.3299 0.5000  6 Co 2.46-2.52, 2 Mo 2.74
Pd 0.0000 0.0000 0.0000  2 Pd 2.74, 4 Co 2.79, 8 Mo 2.96
Pd 0.5000 0.5000 0.0000  2 Pd 2.74, 4 Co 2.79, 8 Mo 2.96